DFT (PBE-GGA) results for VGaIN2 after structural relaxation.

The structure in CIF format:
```
data_VGaIN2
_cell_length_a 3.925
_cell_length_b 3.925
_cell_length_c 5.599
_cell_angle_alpha 90.00
_cell_angle_beta 90.00
_cell_angle_gamma 90.00
_symmetry_space_group_name_H-M 'P 4/m m m'
_symmetry_Int_Tables_number 123
_symmetry_space_group_name_Hall '-P 4 2'
loop_
_atom_site_label
_atom_site_fract_x
_atom_site_fract_y
_atom_site_fract_z
V1 0.000 0.000 0.000
Ga1 0.500 0.500 0.500
I1 0.000 0.000 0.500
N1 0.000 0.500 0.000
```

## Properties
- N(E_F) (states/eV per cell) = 3.0
- energy above the most stable polymorph in this dataset (eV/atom) = 0.000
- calculated density (g/cm³) = 5.3